This record from the Alexandria database describes a relaxed structure of KPm2InO5. The functional is GGA-PBE.

```
KPm2InO5
1.0
-3.410 3.410 6.083
3.410 -3.410 6.083
3.410 3.410 -6.083
K Pm In O
2 4 2 10
Cartesian
0.000 0.000 3.042
0.000 0.000 9.125
4.632 1.222 0.000
1.222 2.188 0.000
2.188 1.222 6.083
-1.222 2.188 6.083
3.410 0.000 3.042
0.000 3.410 3.042
0.000 0.000 0.000
2.437 0.972 -1.507
2.437 -0.972 4.577
2.437 0.972 1.507
2.437 -0.972 7.590
0.000 0.000 6.083
0.972 4.382 -1.507
0.972 2.437 4.577
0.972 4.382 1.507
0.972 2.437 7.590
```

Output
Raw total energy ... -6.69 eV per atom
Space group ... I4/mcm
Formation energy (no corrections) ... -2457 meV/atom
V ... 15.716 A^3/atom
Spin magnetization ... 0.000 μB/cell